DFT (PBE-GGA) results for Zr2CuTc after structural relaxation. Values from VASP.

Output
Its space group is Fm-3m, No. 225. As for the energy: -32.61 eV/cell. The calculated volume comes out at 71 Å³/f.u.

```
&SYSTEM
  ibrav = 0, nat = 4, ntyp = 3
/
ATOMIC_SPECIES
Zr 91.22 Zr.upf
Cu 63.55 Cu.upf
Tc 98.00 Tc.upf
CELL_PARAMETERS angstrom
-0.055 -2.565 3.886
3.246 -3.268 0.679
3.283 0.618 3.244
ATOMIC_POSITIONS crystal
Zr 0.000 0.000 0.000
Cu 0.250 0.250 0.250
Zr 0.500 0.500 0.500
Tc 0.750 0.750 0.750
```

DFT (PBE-GGA) results for ZrCu2Tc after structural relaxation. Values from VASP.

Output
Its space group is P4mm, No. 99. As for the energy: -27.04 eV/cell. The offset from the most stable computed form is 5.7 kJ/mol of atoms. The calculated volume comes out at 62 Å³/f.u.

```
&SYSTEM
  ibrav = 0, nat = 4, ntyp = 3
/
ATOMIC_SPECIES
Zr 91.22 Zr.upf
Tc 98.00 Tc.upf
Cu 63.55 Cu.upf
CELL_PARAMETERS angstrom
-1.607 1.788 -2.248
-1.779 -2.640 -0.829
-3.908 1.406 3.912
ATOMIC_POSITIONS crystal
Zr 0.500 0.500 0.745
Tc 0.000 0.000 0.484
Cu 0.500 0.500 0.240
Cu 0.000 0.000 0.030
```

DFT (PBE-GGA) results for ZrCu2Tc after structural relaxation. Values from VASP.

Output
Its space group is Fm-3m, No. 225. As for the energy: -26.71 eV/cell. The offset from the most stable computed form is 13.8 kJ/mol of atoms. The calculated volume comes out at 61 Å³/f.u.

```
&SYSTEM
  ibrav = 0, nat = 4, ntyp = 3
/
ATOMIC_SPECIES
Tc 98.00 Tc.upf
Zr 91.22 Zr.upf
Cu 63.55 Cu.upf
CELL_PARAMETERS angstrom
0.000 3.121 3.121
3.121 0.000 3.121
3.121 3.121 0.000
ATOMIC_POSITIONS crystal
Tc 0.500 0.500 0.500
Zr 0.000 0.000 0.000
Cu 0.250 0.250 0.250
Cu 0.750 0.750 0.750
```

DFT (PBE-GGA) results for ZrCuTc2 after structural relaxation. Values from VASP.

Output
Its space group is P4/mmm, No. 123. As for the energy: -33.03 eV/cell. The offset from the most stable computed form is 9.4 kJ/mol of atoms. The calculated volume comes out at 64 Å³/f.u.

```
&SYSTEM
  ibrav = 0, nat = 4, ntyp = 3
/
ATOMIC_SPECIES
Tc 98.00 Tc.upf
Cu 63.55 Cu.upf
Zr 91.22 Zr.upf
CELL_PARAMETERS angstrom
3.299 0.000 0.000
0.000 3.298 0.000
0.000 0.000 5.882
ATOMIC_POSITIONS crystal
Tc 0.000 0.000 0.543
Cu 0.500 0.500 0.750
Zr 0.500 0.500 0.250
Tc 0.000 0.000 0.957
```

DFT (PBE-GGA) results for Zr2CuTc after structural relaxation. Values from VASP.

Output
Its space group is F-43m, No. 216. As for the energy: -31.23 eV/cell. The calculated volume comes out at 70 Å³/f.u.

```
&SYSTEM
  ibrav = 0, nat = 4, ntyp = 3
/
ATOMIC_SPECIES
Tc 98.00 Tc.upf
Zr 91.22 Zr.upf
Cu 63.55 Cu.upf
CELL_PARAMETERS angstrom
-2.351 3.780 -1.221
-0.892 0.825 -4.453
-4.314 -0.381 -1.598
ATOMIC_POSITIONS crystal
Tc 0.250 0.250 0.250
Zr 0.750 0.750 0.750
Cu 0.500 0.500 0.500
Zr 0.000 0.000 0.000
```

DFT (PBE-GGA) results for Zr2CuTc after structural relaxation. Values from VASP.

Output
Its space group is P4mm, No. 99. As for the energy: -31.66 eV/cell. The calculated volume comes out at 71 Å³/f.u.

```
&SYSTEM
  ibrav = 0, nat = 4, ntyp = 3
/
ATOMIC_SPECIES
Zr 91.22 Zr.upf
Tc 98.00 Tc.upf
Cu 63.55 Cu.upf
CELL_PARAMETERS angstrom
-2.547 -0.031 -2.272
0.729 -3.244 -0.773
-3.847 -1.898 4.339
ATOMIC_POSITIONS crystal
Zr 0.000 0.000 0.967
Tc 0.500 0.500 0.740
Zr 0.500 0.500 0.284
Cu 0.000 0.000 0.509
```

DFT (PBE-GGA) results for ZrCuTc2 after structural relaxation. Values from VASP.

Output
Its space group is P4/mmm, No. 123. As for the energy: -32.28 eV/cell. The offset from the most stable computed form is 27.4 kJ/mol of atoms. The calculated volume comes out at 63 Å³/f.u.

```
&SYSTEM
  ibrav = 0, nat = 4, ntyp = 3
/
ATOMIC_SPECIES
Tc 98.00 Tc.upf
Cu 63.55 Cu.upf
Zr 91.22 Zr.upf
CELL_PARAMETERS angstrom
-0.555 1.756 -1.947
1.624 -1.333 -1.664
-6.721 -4.976 -2.573
ATOMIC_POSITIONS crystal
Tc 0.000 0.000 0.527
Cu 0.500 0.500 0.750
Tc 0.000 0.000 0.973
Zr 0.500 0.500 0.250
```

DFT (PBE-GGA) results for ZrCu2Tc after structural relaxation. Values from VASP.

Output
Its space group is Pmmm, No. 47. As for the energy: -26.89 eV/cell. The offset from the most stable computed form is 9.3 kJ/mol of atoms. The calculated volume comes out at 60 Å³/f.u.

```
&SYSTEM
  ibrav = 0, nat = 4, ntyp = 3
/
ATOMIC_SPECIES
Cu 63.55 Cu.upf
Zr 91.22 Zr.upf
Tc 98.00 Tc.upf
CELL_PARAMETERS angstrom
2.842 0.000 0.000
0.000 3.874 0.000
0.000 0.000 5.485
ATOMIC_POSITIONS crystal
Cu 0.000 0.000 0.024
Zr 0.500 0.500 0.750
Tc 0.500 0.500 0.250
Cu 0.000 0.000 0.476
```